DFT (GGA-PBE) results for an optimized crystal structure of Pa2GeP2N2.

Unit cell a=3.881 b=3.881 c=11.038 alpha=90.00 beta=90.00 gamma=120.00
Positions (direct):
1 Pa 0.667 0.333 0.367
2 Pa 0.333 0.667 0.633
3 Ge 0.000 0.000 0.000
4 P 0.000 0.000 0.789
5 P 0.000 0.000 0.211
6 N 0.667 0.333 0.576
7 N 0.333 0.667 0.424

Values from the calculation:
For the total energy, the calculation gives -8.171 eV per atom. As for the mass density: 7.206 g/cm³.